Below is a relaxed Li4Mn5Fe3O16 crystal, with properties calculated at the PBE with a Hubbard U level.

abc: 10.2201 5.7742 9.4982
angles: 90.00 92.49 90.00
Last column: nearest neighbours and their distance in Å.
Space group Cm (No. 8)
Inequivalent atoms, fractional coordinates:
Li 0.0000 0.0000 0.0000 (multiplicity 2)  4 O 1.81-1.95
Li 0.0179 0.0000 0.5056 (multiplicity 2)  4 O 1.77-1.94
Li 0.1753 0.5000 0.9051 (multiplicity 2)  4 O 1.90-2.05
Li 0.3442 0.0000 0.4086 (multiplicity 2)  4 O 1.95-2.01
Mn 0.0893 0.2520 0.2248 (multiplicity 4)  6 O 1.91-1.98
Mn 0.1857 0.5000 0.4942 (multiplicity 2)  6 O 1.96-2.04
Mn 0.1874 0.0000 0.7229 (multiplicity 2)  6 O 1.91-1.99
Mn 0.3423 0.0000 0.9959 (multiplicity 2)  5 O 1.98-2.21
Fe 0.3359 0.5000 0.2233 (multiplicity 2)  6 O 1.95-1.99
Fe 0.4314 0.2456 0.7196 (multiplicity 4)  6 O 1.93-2.14
O 0.0088 0.0000 0.3194 (multiplicity 2)  1 Li 1.77, 2 Mn 1.91, 1 Fe 1.95
O 0.0242 0.0000 0.8127 (multiplicity 2)  1 Li 1.81, 1 Mn 1.91, 2 Fe 1.94
O 0.0308 0.5000 0.3515 (multiplicity 2)  3 Mn 1.98-2.04, 1 Li 2.01
O 0.1064 0.2498 0.6037 (multiplicity 4)  1 Li 1.92, 2 Mn 1.97-1.99, 1 Fe 2.14
O 0.1616 0.0000 0.1180 (multiplicity 2)  2 Mn 1.94, 1 Li 1.95
O 0.1657 0.5000 0.1202 (multiplicity 2)  2 Mn 1.93, 1 Fe 1.96, 1 Li 2.05
O 0.2481 0.2772 0.3474 (multiplicity 4)  1 Li 1.95, 2 Mn 1.96-2.02, 1 Fe 1.99
O 0.2691 0.2198 0.8534 (multiplicity 4)  2 Mn 1.94-1.98, 1 Li 1.95, 1 Fe 2.14
O 0.3417 0.0000 0.6164 (multiplicity 2)  1 Mn 1.91, 2 Fe 1.93, 1 Li 1.98
O 0.3541 0.5000 0.6012 (multiplicity 2)  1 Li 1.94, 1 Mn 1.96, 2 Fe 1.99
O 0.4240 0.2566 0.1126 (multiplicity 4)  1 Li 1.95, 2 Mn 1.96-2.01, 1 Fe 1.99
O 0.4971 0.0000 0.8405 (multiplicity 2)  1 Li 1.90, 2 Fe 1.93

- Volume: 10.00 A^3/atom
- E_tot: -6.53 eV per atom